# 1
Below is KTa2Zn after structural relaxation, with properties calculated at the PBE level.

Cell: 4.846 2.910 7.382 Å, 81.07 90.00 90.00°
Sites, in units of the cell vectors:
Ta 0.000 0.460 0.397
Zn 0.500 0.250 0.250
Ta 0.000 0.040 0.103
K 0.500 0.750 0.750

Crystal system: monoclinic

# 2
Below is KTaZn after structural relaxation, with properties calculated at the PBE level.

Cell: 3.531 4.193 12.431 Å, 80.44 89.85 90.00°
Sites, in units of the cell vectors:
K 0.752 0.166 0.665
K 0.248 0.834 0.335
Zn 0.749 0.957 0.088
Ta 0.249 0.460 0.081
Ta 0.751 0.540 0.919
Zn 0.251 0.043 0.912

Crystal system: triclinic
Distance to the lowest polymorph of the same formula in meV/atom: 95.7

# 3
Below is KTa2Zn after structural relaxation, with properties calculated at the PBE level.

Cell: 6.671 6.671 5.355 Å, 66.34 66.34 23.03°
Sites, in units of the cell vectors:
Ta 0.463 0.463 0.537
K 0.250 0.250 0.250
Zn 0.750 0.750 0.750
Ta 0.037 0.037 0.963

Crystal system: orthorhombic

# 4
Below is KTa2Zn after structural relaxation, with properties calculated at the PBE level.

Cell: 6.183 6.183 2.704 Å, 90.00 90.00 124.74°
Sites, in units of the cell vectors:
Ta 0.000 0.000 0.000
K 0.000 0.500 0.500
Ta 0.500 0.500 0.000
Zn 0.500 0.000 0.500

Crystal system: orthorhombic

# 5
Below is KTaZn after structural relaxation, with properties calculated at the PBE level.

Cell: 5.948 5.948 5.949 Å, 88.03 110.23 51.70°
Sites, in units of the cell vectors:
Zn 0.661 0.265 0.493
K 0.411 0.905 0.602
K 0.911 0.625 0.383
Ta 0.160 0.766 0.992
Ta 0.660 0.266 0.993
Zn 0.161 0.265 0.993

Crystal system: orthorhombic
Distance to the lowest polymorph of the same formula in meV/atom: 473.2

# 6
Below is KTaZn4 after structural relaxation, with properties calculated at the PBE level.

Cell: 5.337 5.337 5.337 Å, 60.00 60.00 60.00°
Sites, in units of the cell vectors:
Ta 0.000 0.000 0.000
Zn 0.372 0.372 0.884
Zn 0.372 0.372 0.372
Zn 0.884 0.372 0.372
Zn 0.372 0.884 0.372
K 0.750 0.750 0.750

Crystal system: cubic

# 7
Below is K2TaZn after structural relaxation, with properties calculated at the PBE level.

Cell: 6.761 6.761 2.883 Å, 90.00 90.00 125.15°
Each line ends with the local moment (μB).
Sites, in units of the cell vectors:
K 0.000 0.000 0.000  0.01
Zn 0.000 0.500 0.500  0.00
K 0.500 0.500 0.000  0.01
Ta 0.500 0.000 0.500  0.32

Crystal system: orthorhombic

# 8
Below is K4TaZn after structural relaxation, with properties calculated at the PBE level.

Cell: 7.177 7.177 7.177 Å, 60.00 60.00 60.00°
Each line ends with the local moment (μB).
Sites, in units of the cell vectors:
K 0.376 0.376 0.376  0.01
K 0.873 0.376 0.376  0.01
K 0.376 0.873 0.376  0.01
K 0.376 0.376 0.873  0.01
Zn 0.000 0.000 0.000  0.01
Ta 0.750 0.750 0.750  2.31

Crystal system: cubic

# 9
Below is KTa2Zn after structural relaxation, with properties calculated at the PBE level.

Cell: 2.880 2.880 10.400 Å, 90.00 90.00 90.00°
Sites, in units of the cell vectors:
Ta 0.000 0.000 0.433
Zn 0.500 0.500 0.250
Ta 0.000 0.000 0.067
K 0.500 0.500 0.750

Crystal system: tetragonal

# 10
Below is KTa2Zn after structural relaxation, with properties calculated at the PBE level.

Cell: 2.903 3.841 8.707 Å, 90.00 90.00 90.00°
Sites, in units of the cell vectors:
K 0.500 0.500 0.750
Zn 0.500 0.500 0.250
Ta 0.000 0.000 0.098
Ta 0.000 0.000 0.402

Crystal system: orthorhombic

# 11
Below is K2TaZn after structural relaxation, with properties calculated at the PBE level.

Cell: 12.665 12.665 12.665 Å, 14.13 14.13 14.13°
Each line ends with the local moment (μB).
Sites, in units of the cell vectors:
Zn 0.750 0.750 0.750  0.00
K 0.002 0.002 0.002  0.01
K 0.498 0.498 0.498  0.01
Ta 0.250 0.250 0.250  0.10

Crystal system: trigonal

# 12
Below is K2TaZn after structural relaxation, with properties calculated at the PBE level.

Cell: 4.774 4.774 10.266 Å, 88.07 88.07 35.31°
Sites, in units of the cell vectors:
Ta 0.514 0.514 0.417
Zn 0.247 0.247 0.321
K 0.986 0.986 0.087
K 0.754 0.754 0.675

Crystal system: monoclinic

# 13
Below is K2TaZn after structural relaxation, with properties calculated at the PBE level.

Cell: 3.309 3.309 11.167 Å, 90.00 90.00 89.97°
Sites, in units of the cell vectors:
K 0.500 0.500 0.306
Ta 0.000 0.000 0.572
K 0.000 0.000 0.929
Zn 0.500 0.500 0.693

Crystal system: tetragonal

# 14
Below is KTaZn after structural relaxation, with properties calculated at the PBE level.

Cell: 2.990 2.990 8.590 Å, 90.00 90.00 120.00°
Sites, in units of the cell vectors:
Zn 0.667 0.333 0.639
Ta 0.333 0.667 0.372
K 0.000 0.000 0.989

Crystal system: trigonal
Distance to the lowest polymorph of the same formula in meV/atom: 468.2

# 15
Below is KTaZn after structural relaxation, with properties calculated at the PBE level.

Cell: 8.449 2.870 11.008 Å, 90.00 90.00 90.00°
Sites, in units of the cell vectors:
K 0.859 0.250 0.422
Ta 0.538 0.750 0.606
Ta 0.038 0.750 0.894
Zn 0.820 0.250 0.716
K 0.641 0.750 0.922
Zn 0.680 0.750 0.216
K 0.359 0.250 0.078
Zn 0.180 0.750 0.284
K 0.141 0.750 0.578
Ta 0.462 0.250 0.394
Ta 0.962 0.250 0.106
Zn 0.320 0.250 0.784

Crystal system: orthorhombic
Distance to the lowest polymorph of the same formula in meV/atom: 325.4

# 16
Below is KTaZn after structural relaxation, with properties calculated at the PBE level.

Cell: 2.906 6.970 8.471 Å, 70.53 87.81 90.06°
Sites, in units of the cell vectors:
Ta 0.102 0.806 0.667
Ta 0.571 0.640 0.942
Zn 0.083 0.374 0.820
K 0.070 0.018 0.187
Zn 0.589 0.073 0.788
K 0.625 0.429 0.422

Crystal system: triclinic
Distance to the lowest polymorph of the same formula in meV/atom: 342.5

# 17
Below is KTa2Zn after structural relaxation, with properties calculated at the PBE level.

Cell: 5.479 6.490 2.705 Å, 79.28 86.96 114.27°
Sites, in units of the cell vectors:
Ta 0.000 0.000 0.000
Ta 0.500 0.000 0.500
Zn 0.000 0.500 0.500
K 0.500 0.500 0.000

Crystal system: monoclinic

# 18
Below is KTaZn after structural relaxation, with properties calculated at the PBE level.

Cell: 7.092 7.092 7.092 Å, 157.94 144.79 41.94°
Sites, in units of the cell vectors:
K 0.007 0.007 0.000
Zn 0.708 0.708 0.000
Ta 0.285 0.285 0.000

Crystal system: orthorhombic
Distance to the lowest polymorph of the same formula in meV/atom: 466.8

# 19
Below is KTa2Zn after structural relaxation, with properties calculated at the PBE level.

Cell: 11.262 11.262 11.262 Å, 15.02 15.02 15.02°
Sites, in units of the cell vectors:
Zn 0.510 0.510 0.510
Ta 0.246 0.246 0.246
K 0.754 0.754 0.754
Ta 0.990 0.990 0.990

Crystal system: trigonal

# 20
Below is KTaZn after structural relaxation, with properties calculated at the PBE level.

Cell: 7.020 4.631 5.285 Å, 90.00 79.21 90.00°
Sites, in units of the cell vectors:
Ta 0.741 0.000 0.553
K 0.231 0.000 0.459
Ta 0.756 0.500 0.355
Zn 0.873 0.500 0.805
K 0.365 0.500 0.951
Zn 0.860 0.000 0.043

Crystal system: monoclinic
Distance to the lowest polymorph of the same formula in meV/atom: 379.4

Asked for formation energy across the records above, the calculation gives 0.887; 0.389; 0.680; 1.198; 0.766; 0.486; 1.127; 1.234; 0.749; 0.870; 0.958; 0.831; 0.709; 0.761; 0.618; 0.635; 1.033; 0.760; 0.619; 0.672 eV per atom in order.